#w
Entry from the Alexandria database: crystalline TiZn3Se at its relaxed geometry (PBE).

Computed properties:
**Theoretical density**: 4.24 g/cm³
**Symmetry**: No. 221

Geometry as POSCAR:
```
TiZn3Se
1.0
-3.201 -2.972 2.475
3.597 -3.469 0.486
1.422 2.083 4.341
Zn Se Ti
3 1 1
Direct
0.000 0.500 0.000
0.000 0.000 0.500
0.500 0.000 0.000
0.500 0.500 0.500
0.000 0.000 0.000
```


#x
Entry from the Alexandria database: crystalline TiZn3Se at its relaxed geometry (PBE).

Computed properties:
**Theoretical density**: 4.84 g/cm³
**Symmetry**: No. 221

Geometry as POSCAR:
```
TiZn3Se
1.0
-2.710 -3.044 -2.543
-0.820 -2.583 3.966
-3.881 2.672 0.938
Zn Se Ti
3 1 1
Direct
0.000 0.500 0.000
0.000 0.000 0.500
0.500 0.000 0.000
0.000 0.000 0.000
0.500 0.500 0.500
```


It is #x that is the most stable of them.


#w
Entry from the Alexandria database: crystalline ZrTi3Se at its relaxed geometry (PBE).

Computed properties:
**Theoretical density**: 5.82 g/cm³
**Symmetry**: No. 62

Geometry as POSCAR:
```
ZrTi3Se
1.0
3.473 0.000 0.000
0.000 8.754 0.000
0.000 0.000 11.786
Zr Ti Se
4 12 4
Direct
0.750 0.841 0.997
0.250 0.659 0.497
0.750 0.341 0.503
0.250 0.159 0.003
0.250 0.562 0.085
0.750 0.438 0.915
0.250 0.062 0.415
0.750 0.938 0.585
0.250 0.422 0.721
0.750 0.078 0.221
0.250 0.922 0.779
0.750 0.671 0.707
0.250 0.329 0.293
0.750 0.171 0.793
0.750 0.578 0.279
0.250 0.829 0.207
0.250 0.151 0.628
0.250 0.651 0.872
0.750 0.349 0.128
0.750 0.849 0.372
```


#x
Entry from the Alexandria database: crystalline ZrTi3Se at its relaxed geometry (PBE).

Computed properties:
**Theoretical density**: 4.49 g/cm³
**Symmetry**: No. 221

Geometry as POSCAR:
```
ZrTi3Se
1.0
-2.352 4.228 0.611
-4.095 -2.033 -1.696
-1.215 -1.331 4.531
Se Zr Ti
1 1 3
Direct
0.500 0.500 0.500
0.000 0.000 0.000
0.000 0.500 0.000
0.000 0.000 0.500
0.500 0.000 0.000
```


#y
Entry from the Alexandria database: crystalline ZrTi3Se at its relaxed geometry (PBE).

Computed properties:
**Theoretical density**: 5.46 g/cm³
**Symmetry**: No. 74

Geometry as POSCAR:
```
ZrTi3Se
1.0
-0.307 4.373 -1.701
1.578 -2.467 -6.627
-6.088 -1.729 3.155
Zr Ti Se
2 6 2
Direct
0.867 0.117 0.735
0.133 0.883 0.265
0.334 0.342 0.668
0.666 0.658 0.332
0.334 0.826 0.668
0.666 0.174 0.332
0.153 0.403 0.306
0.847 0.597 0.694
0.501 0.751 0.002
0.499 0.249 0.998
```


It is #w that is the most stable of them.


#w
Entry from the Alexandria database: crystalline ZrTiSe2 at its relaxed geometry (PBE).

Computed properties:
**Theoretical density**: 4.75 g/cm³
**Symmetry**: No. 122

Geometry as POSCAR:
```
ZrTiSe2
1.0
-1.160 0.737 5.757
0.493 -5.837 0.847
5.461 -1.903 4.386
Se Zr Ti
4 2 2
Direct
0.606 0.125 0.250
0.144 0.625 0.250
0.375 0.394 0.750
0.875 0.856 0.750
0.000 0.000 0.000
0.750 0.250 0.500
0.500 0.500 0.000
0.250 0.750 0.500
```


#x
Entry from the Alexandria database: crystalline ZrTiSe2 at its relaxed geometry (PBE).

Computed properties:
**Theoretical density**: 6.04 g/cm³
**Symmetry**: No. 62

Geometry as POSCAR:
```
ZrTiSe2
1.0
-4.202 -0.810 2.616
-2.481 -0.908 -4.267
3.007 -12.591 0.931
Zr Ti Se
4 4 8
Direct
0.062 0.999 0.321
0.562 0.001 0.679
0.562 0.501 0.821
0.062 0.499 0.179
0.062 0.001 0.816
0.562 0.999 0.184
0.562 0.499 0.316
0.062 0.501 0.684
0.062 0.501 0.894
0.562 0.499 0.106
0.562 0.999 0.394
0.062 0.001 0.606
0.562 0.001 0.897
0.062 0.999 0.103
0.062 0.499 0.397
0.562 0.501 0.603
```


#y
Entry from the Alexandria database: crystalline ZrTiSe2 at its relaxed geometry (PBE).

Computed properties:
**Theoretical density**: 6.45 g/cm³
**Symmetry**: No. 160

Geometry as POSCAR:
```
ZrTiSe2
1.0
3.564 0.000 0.000
1.782 3.086 0.000
1.782 1.029 6.957
Zr Ti Se
1 1 2
Direct
0.501 0.501 0.496
0.665 0.665 0.005
0.079 0.079 0.763
0.255 0.255 0.236
```


It is #x that is the most stable of them.


#w
Entry from the Alexandria database: crystalline ZrTiSe at its relaxed geometry (PBE).

Computed properties:
**Theoretical density**: 5.98 g/cm³
**Symmetry**: No. 12

Geometry as POSCAR:
```
ZrTiSe
1.0
3.511 0.000 0.000
0.000 8.126 0.336
-1.755 -0.550 8.467
Zr Ti Se
4 4 4
Direct
0.907 0.625 0.814
0.532 0.816 0.063
0.468 0.184 0.937
0.093 0.375 0.186
0.742 0.371 0.483
0.252 0.124 0.503
0.258 0.629 0.517
0.748 0.876 0.497
0.650 0.620 0.299
0.369 0.888 0.737
0.350 0.380 0.701
0.631 0.112 0.263
```


#x
Entry from the Alexandria database: crystalline ZrTiSe at its relaxed geometry (PBE).

Computed properties:
**Theoretical density**: 5.52 g/cm³
**Symmetry**: No. 84

Geometry as POSCAR:
```
ZrTiSe
1.0
-1.822 2.840 -0.092
-4.668 -2.771 6.942
5.765 3.876 5.424
Se Zr Ti
4 4 4
Direct
0.500 0.749 0.258
0.500 0.251 0.742
0.000 0.258 0.251
0.000 0.742 0.749
0.500 0.850 0.539
0.000 0.461 0.850
0.000 0.539 0.150
0.500 0.150 0.461
0.500 0.193 0.037
0.000 0.963 0.193
0.000 0.037 0.807
0.500 0.807 0.963
```


#y
Entry from the Alexandria database: crystalline ZrTiSe at its relaxed geometry (PBE).

Computed properties:
**Theoretical density**: 6.02 g/cm³
**Symmetry**: No. 129

Geometry as POSCAR:
```
ZrTiSe
1.0
-3.052 -0.486 1.943
1.925 -1.692 2.600
1.371 7.911 4.131
Zr Ti Se
2 2 2
Direct
0.750 0.250 0.236
0.250 0.750 0.764
0.750 0.250 0.558
0.250 0.750 0.442
0.250 0.750 0.133
0.750 0.250 0.867
```


It is #y that is the most stable of them.


#w
Entry from the Alexandria database: crystalline TlSe2 at its relaxed geometry (PBE).

Computed properties:
**Theoretical density**: 6.51 g/cm³
**Symmetry**: No. 12

Geometry as POSCAR:
```
TlSe2
1.0
5.311 0.000 0.000
-2.656 4.853 0.005
0.000 0.005 3.584
Se Tl
2 1
Direct
0.619 0.238 0.499
0.381 0.762 0.501
0.000 0.000 0.000
```


#x
Entry from the Alexandria database: crystalline TlSe2 at its relaxed geometry (PBE).

Computed properties:
**Theoretical density**: 6.94 g/cm³
**Symmetry**: No. 140

Geometry as POSCAR:
```
TlSe2
1.0
-2.904 -4.031 -3.675
4.293 -4.009 1.917
-3.386 2.796 4.347
Se Tl
4 2
Direct
0.373 0.127 0.500
0.627 0.873 0.500
0.127 0.627 0.755
0.873 0.373 0.245
0.750 0.750 0.000
0.250 0.250 0.000
```


It is #x that is the most stable of them.


#w
Entry from the Alexandria database: crystalline TlSe2 at its relaxed geometry (PBE).

Computed properties:
**Theoretical density**: 7.68 g/cm³
**Symmetry**: No. 227

Geometry as POSCAR:
```
TlSe2
1.0
-4.472 -3.476 -2.132
0.090 -1.850 -5.761
1.045 -5.819 -1.294
Tl Se
2 4
Direct
0.000 0.000 0.000
0.250 0.250 0.250
0.125 0.625 0.625
0.625 0.125 0.625
0.625 0.625 0.625
0.625 0.625 0.125
```


#x
Entry from the Alexandria database: crystalline TlSe2 at its relaxed geometry (PBE).

Computed properties:
**Theoretical density**: 7.11 g/cm³
**Symmetry**: No. 139

Geometry as POSCAR:
```
TlSe2
1.0
-0.677 8.825 -4.336
-3.936 6.768 -5.988
1.087 -7.121 6.727
Se Tl
2 1
Direct
0.643 0.643 0.000
0.357 0.357 0.000
0.000 0.000 0.000
```


It is #w that is the most stable of them.


#w
Entry from the Alexandria database: crystalline TlSe2 at its relaxed geometry (PBE).

Computed properties:
**Theoretical density**: 7.81 g/cm³
**Symmetry**: No. 164

Geometry as POSCAR:
```
TlSe2
1.0
-0.616 -2.805 3.047
3.345 2.516 0.116
-2.671 3.430 2.618
Se Tl
2 1
Direct
0.667 0.333 0.678
0.333 0.667 0.322
0.000 0.000 0.000
```


#x
Entry from the Alexandria database: crystalline TlSe2 at its relaxed geometry (PBE).

Computed properties:
**Theoretical density**: 8.20 g/cm³
**Symmetry**: No. 194

Geometry as POSCAR:
```
TlSe2
1.0
2.666 -4.618 0.000
2.666 4.618 0.000
0.000 0.000 5.958
Tl Se
2 4
Direct
0.667 0.333 0.250
0.333 0.667 0.750
0.000 0.000 0.000
0.000 0.000 0.500
0.333 0.667 0.250
0.667 0.333 0.750
```


#y
Entry from the Alexandria database: crystalline TlSe2 at its relaxed geometry (PBE).

Computed properties:
**Theoretical density**: 6.56 g/cm³
**Symmetry**: No. 8

Geometry as POSCAR:
```
TlSe2
1.0
-6.863 3.097 -0.997
-7.544 -0.753 -0.459
-3.759 1.492 5.915
Se Tl
4 2
Direct
0.028 0.028 0.938
0.414 0.414 0.197
0.646 0.646 0.675
0.596 0.596 0.403
0.906 0.906 0.557
0.243 0.243 0.064
```


It is #y that is the most stable of them.


#w
Entry from the Alexandria database: crystalline TlSe2 at its relaxed geometry (PBE).

Computed properties:
**Theoretical density**: 6.84 g/cm³
**Symmetry**: No. 139

Geometry as POSCAR:
```
TlSe2
1.0
6.418 -0.012 0.001
4.064 4.969 -0.002
-5.242 -2.477 2.755
Se Tl
2 1
Direct
0.730 0.730 0.000
0.270 0.270 0.000
0.000 0.000 0.000
```


#x
Entry from the Alexandria database: crystalline TlSe2 at its relaxed geometry (PBE).

Computed properties:
**Theoretical density**: 6.26 g/cm³
**Symmetry**: No. 62

Geometry as POSCAR:
```
TlSe2
1.0
6.349 0.000 0.000
0.000 5.522 0.000
0.000 0.000 10.974
Se Tl
8 4
Direct
0.250 0.167 0.737
0.750 0.333 0.237
0.250 0.667 0.763
0.750 0.833 0.263
0.250 0.232 0.525
0.750 0.268 0.025
0.250 0.732 0.975
0.750 0.768 0.475
0.250 0.738 0.385
0.750 0.762 0.885
0.250 0.238 0.115
0.750 0.262 0.615
```


It is #x that is the most stable of them.


#w
Entry from the Alexandria database: crystalline TlSe2 at its relaxed geometry (PBE).

Computed properties:
**Theoretical density**: 6.16 g/cm³
**Symmetry**: No. 12

Geometry as POSCAR:
```
TlSe2
1.0
-2.959 1.058 4.409
-0.424 -2.269 4.897
7.223 5.768 1.803
Se Tl
4 2
Direct
0.028 0.028 0.072
0.686 0.686 0.647
0.583 0.583 0.206
0.925 0.925 0.631
0.336 0.336 0.396
0.275 0.275 0.881
```


#x
Entry from the Alexandria database: crystalline TlSe2 at its relaxed geometry (PBE).

Computed properties:
**Theoretical density**: 6.33 g/cm³
**Symmetry**: No. 194

Geometry as POSCAR:
```
TlSe2
1.0
5.298 0.000 0.000
-2.649 4.588 0.000
0.000 0.000 15.650
Tl Se
4 8
Direct
0.333 0.667 0.081
0.667 0.333 0.581
0.667 0.333 0.919
0.333 0.667 0.419
0.000 0.000 0.000
0.000 0.000 0.500
0.834 0.669 0.250
0.166 0.331 0.750
0.331 0.166 0.250
0.834 0.166 0.250
0.166 0.834 0.750
0.669 0.834 0.750
```


#y
Entry from the Alexandria database: crystalline TlSe2 at its relaxed geometry (PBE).

Computed properties:
**Theoretical density**: 5.26 g/cm³
**Symmetry**: No. 63

Geometry as POSCAR:
```
TlSe2
1.0
-5.476 3.982 2.116
-0.362 -5.171 4.842
2.806 2.390 2.762
Tl Se
2 4
Direct
0.152 0.152 0.250
0.848 0.848 0.750
0.932 0.511 0.250
0.068 0.489 0.750
0.511 0.932 0.250
0.489 0.068 0.750
```


#z
Entry from the Alexandria database: crystalline TlSe2 at its relaxed geometry (PBE).

Computed properties:
**Theoretical density**: 6.50 g/cm³
**Symmetry**: No. 14

Geometry as POSCAR:
```
TlSe2
1.0
4.466 0.000 -0.876
0.000 7.634 0.000
-0.796 0.000 11.021
Tl Se
4 8
Direct
0.733 0.128 0.631
0.767 0.628 0.869
0.267 0.872 0.369
0.233 0.372 0.131
0.199 0.790 0.673
0.301 0.290 0.827
0.801 0.210 0.327
0.699 0.710 0.173
0.647 0.073 0.935
0.853 0.573 0.565
0.353 0.927 0.065
0.147 0.427 0.435
```


It is #z that is the most stable of them.